DFT (GGA-PBE) results for crystalline Tb2DyY6Er3 at its relaxed geometry.

```
data_Tb2DyY6Er3
_chemical_formula_sum 'Tb4 Dy2 Y12 Er6'
_cell_length_a 6.153
_cell_length_b 10.645
_cell_length_c 11.771
_cell_angle_alpha 90.00
_cell_angle_beta 99.99
_cell_angle_gamma 90.00
_symmetry_space_group_name_H-M 'C 1 2/m 1'
_symmetry_Int_Tables_number 12
loop_
_symmetry_equiv_pos_as_xyz
'x,y,z'
'-x,-y,-z'
'-x,y,-z'
'x,-y,z'
'x+1/2,y+1/2,z'
'-x+1/2,-y+1/2,-z'
'-x+1/2,y+1/2,-z'
'x+1/2,-y+1/2,z'
loop_
_atom_site_label
_atom_site_type_symbol
_atom_site_fract_x
_atom_site_fract_y
_atom_site_fract_z
Tb1 Tb 0.000 0.167 0.000
Dy1 Dy 0.000 0.500 0.000
Y1 Y 0.249 0.167 0.749
Y2 Y 0.249 0.500 0.749
Er1 Er 0.000 0.000 0.500
Er2 Er 0.000 0.333 0.500
```

Summary:
- Magnetic moment: 0.000 μB per formula unit
- Electronic total energy: -132.12 eV for the cell shown
- ΔE_f: 0.023 eV/atom

DFT (GGA-PBE) results for crystalline TbDyY2Er5 at its relaxed geometry.

```
data_TbDyY2Er5
_chemical_formula_sum 'Tb4 Dy4 Y8 Er20'
_cell_length_a 5.575
_cell_length_b 19.643
_cell_length_c 10.560
_cell_angle_alpha 90.00
_cell_angle_beta 90.00
_cell_angle_gamma 90.00
_symmetry_space_group_name_H-M 'C m c 21'
_symmetry_Int_Tables_number 36
loop_
_symmetry_equiv_pos_as_xyz
'x,y,z'
'-x,-y,z+1/2'
'-x,y,z'
'x,-y,z+1/2'
'x+1/2,y+1/2,z'
'-x+1/2,-y+1/2,z+1/2'
'-x+1/2,y+1/2,z'
'x+1/2,-y+1/2,z+1/2'
loop_
_atom_site_label
_atom_site_type_symbol
_atom_site_fract_x
_atom_site_fract_y
_atom_site_fract_z
Tb1 Tb 0.000 0.202 0.000
Dy1 Dy 0.000 0.415 0.447
Y1 Y 0.000 0.109 0.726
Y2 Y 0.000 0.113 0.310
Er1 Er 0.000 0.019 0.016
Er2 Er 0.000 0.283 0.296
Er3 Er 0.000 0.300 0.697
Er4 Er 0.000 0.393 0.012
Er5 Er 0.000 0.479 0.727
```

Summary:
- Magnetic moment: 0.000 μB per formula unit
- Electronic total energy: -174.34 eV for the cell shown
- ΔE_f: 0.154 eV/atom

DFT (GGA-PBE) results for crystalline Tb2DyY2Er4 at its relaxed geometry.

```
data_Tb2DyY2Er4
_chemical_formula_sum 'Tb4 Dy2 Y4 Er8'
_cell_length_a 18.534
_cell_length_b 3.567
_cell_length_c 9.480
_cell_angle_alpha 90.00
_cell_angle_beta 115.76
_cell_angle_gamma 90.00
_symmetry_space_group_name_H-M 'C 1 2/m 1'
_symmetry_Int_Tables_number 12
loop_
_symmetry_equiv_pos_as_xyz
'x,y,z'
'-x,-y,-z'
'-x,y,-z'
'x,-y,z'
'x+1/2,y+1/2,z'
'-x+1/2,-y+1/2,-z'
'-x+1/2,y+1/2,-z'
'x+1/2,-y+1/2,z'
loop_
_atom_site_label
_atom_site_type_symbol
_atom_site_fract_x
_atom_site_fract_y
_atom_site_fract_z
Tb1 Tb 0.166 0.000 0.002
Dy1 Dy 0.000 0.500 0.000
Y1 Y 0.147 0.500 0.665
Er1 Er 0.019 0.000 0.333
Er2 Er 0.185 0.500 0.335
```

Summary:
- Magnetic moment: 0.000 μB per formula unit
- Electronic total energy: -90.13 eV for the cell shown
- ΔE_f: -0.002 eV/atom

DFT (GGA-PBE) results for crystalline Tb2DyYEr5 at its relaxed geometry.

```
data_Tb2DyYEr5
_chemical_formula_sum 'Tb8 Dy4 Y4 Er20'
_cell_length_a 8.716
_cell_length_b 8.716
_cell_length_c 14.985
_cell_angle_alpha 90.00
_cell_angle_beta 90.00
_cell_angle_gamma 90.00
_symmetry_space_group_name_H-M 'I 4/m c m'
_symmetry_Int_Tables_number 140
_symmetry_space_group_name_Hall '-I 4 2c'
loop_
_atom_site_label
_atom_site_type_symbol
_atom_site_fract_x
_atom_site_fract_y
_atom_site_fract_z
Tb1 Tb 0.115 0.385 0.000
Dy1 Dy 0.000 0.500 0.250
Y1 Y 0.000 0.000 0.250
Er1 Er 0.000 0.000 0.000
Er2 Er 0.207 0.293 0.365
```

Summary:
- Magnetic moment: 0.000 μB per formula unit
- Electronic total energy: -162.03 eV for the cell shown
- ΔE_f: 0.292 eV/atom

DFT (GGA-PBE) results for crystalline TbDyY6Er2 at its relaxed geometry.

```
data_TbDyY6Er2
_chemical_formula_sum 'Tb4 Dy4 Y24 Er8'
_cell_length_a 9.097
_cell_length_b 14.977
_cell_length_c 9.582
_cell_angle_alpha 90.00
_cell_angle_beta 97.99
_cell_angle_gamma 90.00
_symmetry_space_group_name_H-M 'C 1 2/c 1'
_symmetry_Int_Tables_number 15
loop_
_symmetry_equiv_pos_as_xyz
'x,y,z'
'-x,-y,-z'
'-x,y,-z+1/2'
'x,-y,z+1/2'
'x+1/2,y+1/2,z'
'-x+1/2,-y+1/2,-z'
'-x+1/2,y+1/2,-z+1/2'
'x+1/2,-y+1/2,z+1/2'
loop_
_atom_site_label
_atom_site_type_symbol
_atom_site_fract_x
_atom_site_fract_y
_atom_site_fract_z
Tb1 Tb 0.000 0.025 0.250
Dy1 Dy 0.000 0.409 0.750
Y1 Y 0.063 0.184 0.944
Y2 Y 0.101 0.393 0.118
Y3 Y 0.207 0.224 0.317
Er1 Er 0.248 0.051 0.546
```

Summary:
- Magnetic moment: 0.000 μB per formula unit
- Electronic total energy: -223.76 eV for the cell shown
- ΔE_f: 0.120 eV/atom

DFT (GGA-PBE) results for crystalline Tb2Dy6Y3Er at its relaxed geometry.

```
data_Tb2Dy6Y3Er
_chemical_formula_sum 'Tb4 Dy12 Y6 Er2'
_cell_length_a 6.149
_cell_length_b 10.639
_cell_length_c 11.766
_cell_angle_alpha 90.00
_cell_angle_beta 99.97
_cell_angle_gamma 90.00
_symmetry_space_group_name_H-M 'C 1 2/m 1'
_symmetry_Int_Tables_number 12
loop_
_symmetry_equiv_pos_as_xyz
'x,y,z'
'-x,-y,-z'
'-x,y,-z'
'x,-y,z'
'x+1/2,y+1/2,z'
'-x+1/2,-y+1/2,-z'
'-x+1/2,y+1/2,-z'
'x+1/2,-y+1/2,z'
loop_
_atom_site_label
_atom_site_type_symbol
_atom_site_fract_x
_atom_site_fract_y
_atom_site_fract_z
Tb1 Tb 0.000 0.167 0.000
Dy1 Dy 0.250 0.000 0.249
Dy2 Dy 0.250 0.167 0.751
Y1 Y 0.000 0.000 0.500
Y2 Y 0.000 0.333 0.500
Er1 Er 0.000 0.500 0.000
```

Summary:
- Magnetic moment: 0.000 μB per formula unit
- Electronic total energy: -121.21 eV for the cell shown
- ΔE_f: 0.019 eV/atom

DFT (GGA-PBE) results for crystalline Tb6Dy2YEr3 at its relaxed geometry.

```
data_Tb6Dy2YEr3
_chemical_formula_sum 'Tb12 Dy4 Y2 Er6'
_cell_length_a 6.145
_cell_length_b 10.630
_cell_length_c 11.739
_cell_angle_alpha 90.00
_cell_angle_beta 99.99
_cell_angle_gamma 90.00
_symmetry_space_group_name_H-M 'C 1 2/m 1'
_symmetry_Int_Tables_number 12
loop_
_symmetry_equiv_pos_as_xyz
'x,y,z'
'-x,-y,-z'
'-x,y,-z'
'x,-y,z'
'x+1/2,y+1/2,z'
'-x+1/2,-y+1/2,-z'
'-x+1/2,y+1/2,-z'
'x+1/2,-y+1/2,z'
loop_
_atom_site_label
_atom_site_type_symbol
_atom_site_fract_x
_atom_site_fract_y
_atom_site_fract_z
Tb1 Tb 0.249 0.167 0.249
Tb2 Tb 0.250 0.000 0.751
Dy1 Dy 0.000 0.167 0.500
Y1 Y 0.000 0.500 0.500
Er1 Er 0.000 0.000 0.000
Er2 Er 0.000 0.333 0.000
```

Summary:
- Magnetic moment: 0.000 μB per formula unit
- Electronic total energy: -113.87 eV for the cell shown
- ΔE_f: 0.017 eV/atom

DFT (GGA-PBE) results for crystalline TbDy6Y2Er at its relaxed geometry.

```
data_TbDy6Y2Er
_chemical_formula_sum 'Tb4 Dy24 Y8 Er4'
_cell_length_a 9.075
_cell_length_b 15.006
_cell_length_c 9.494
_cell_angle_alpha 90.00
_cell_angle_beta 97.00
_cell_angle_gamma 90.00
_symmetry_space_group_name_H-M 'C 1 2/c 1'
_symmetry_Int_Tables_number 15
loop_
_symmetry_equiv_pos_as_xyz
'x,y,z'
'-x,-y,-z'
'-x,y,-z+1/2'
'x,-y,z+1/2'
'x+1/2,y+1/2,z'
'-x+1/2,-y+1/2,-z'
'-x+1/2,y+1/2,-z+1/2'
'x+1/2,-y+1/2,z+1/2'
loop_
_atom_site_label
_atom_site_type_symbol
_atom_site_fract_x
_atom_site_fract_y
_atom_site_fract_z
Tb1 Tb 0.000 0.025 0.250
Dy1 Dy 0.062 0.185 0.943
Dy2 Dy 0.100 0.391 0.119
Dy3 Dy 0.208 0.224 0.314
Y1 Y 0.250 0.051 0.545
Er1 Er 0.000 0.410 0.750
```

Summary:
- Magnetic moment: 0.000 μB per formula unit
- Electronic total energy: -193.97 eV for the cell shown
- ΔE_f: 0.124 eV/atom

DFT (GGA-PBE) results for crystalline Tb6DyYEr2 at its relaxed geometry.

```
data_Tb6DyYEr2
_chemical_formula_sum 'Tb24 Dy4 Y4 Er8'
_cell_length_a 9.033
_cell_length_b 15.065
_cell_length_c 9.535
_cell_angle_alpha 90.00
_cell_angle_beta 97.38
_cell_angle_gamma 90.00
_symmetry_space_group_name_H-M 'C 1 2/c 1'
_symmetry_Int_Tables_number 15
loop_
_symmetry_equiv_pos_as_xyz
'x,y,z'
'-x,-y,-z'
'-x,y,-z+1/2'
'x,-y,z+1/2'
'x+1/2,y+1/2,z'
'-x+1/2,-y+1/2,-z'
'-x+1/2,y+1/2,-z+1/2'
'x+1/2,-y+1/2,z+1/2'
loop_
_atom_site_label
_atom_site_type_symbol
_atom_site_fract_x
_atom_site_fract_y
_atom_site_fract_z
Tb1 Tb 0.062 0.186 0.445
Tb2 Tb 0.103 0.393 0.620
Tb3 Tb 0.206 0.225 0.815
Dy1 Dy 0.000 0.409 0.250
Y1 Y 0.000 0.024 0.750
Er1 Er 0.249 0.446 0.956
```

Summary:
- Magnetic moment: 0.000 μB per formula unit
- Electronic total energy: -187.19 eV for the cell shown
- ΔE_f: 0.118 eV/atom

DFT (GGA-PBE) results for crystalline Tb3Dy6YEr2 at its relaxed geometry.

```
data_Tb3Dy6YEr2
_chemical_formula_sum 'Tb6 Dy12 Y2 Er4'
_cell_length_a 6.140
_cell_length_b 10.624
_cell_length_c 11.741
_cell_angle_alpha 90.00
_cell_angle_beta 99.98
_cell_angle_gamma 90.00
_symmetry_space_group_name_H-M 'C 1 2/m 1'
_symmetry_Int_Tables_number 12
loop_
_symmetry_equiv_pos_as_xyz
'x,y,z'
'-x,-y,-z'
'-x,y,-z'
'x,-y,z'
'x+1/2,y+1/2,z'
'-x+1/2,-y+1/2,-z'
'-x+1/2,y+1/2,-z'
'x+1/2,-y+1/2,z'
loop_
_atom_site_label
_atom_site_type_symbol
_atom_site_fract_x
_atom_site_fract_y
_atom_site_fract_z
Tb1 Tb 0.000 0.000 0.000
Tb2 Tb 0.000 0.333 0.000
Dy1 Dy 0.249 0.000 0.749
Dy2 Dy 0.249 0.167 0.251
Y1 Y 0.000 0.500 0.500
Er1 Er 0.000 0.167 0.500
```

Summary:
- Magnetic moment: 0.000 μB per formula unit
- Electronic total energy: -113.77 eV for the cell shown
- ΔE_f: 0.017 eV/atom

DFT (GGA-PBE) results for crystalline TbDy2Y2Er at its relaxed geometry.

```
data_TbDy2Y2Er
_chemical_formula_sum 'Tb2 Dy4 Y4 Er2'
_cell_length_a 6.544
_cell_length_b 17.676
_cell_length_c 3.373
_cell_angle_alpha 90.00
_cell_angle_beta 90.00
_cell_angle_gamma 90.00
_symmetry_space_group_name_H-M 'P n n m'
_symmetry_Int_Tables_number 58
loop_
_symmetry_equiv_pos_as_xyz
'x,y,z'
'-x,-y,-z'
'-x,-y,z'
'x,y,-z'
'x+1/2,-y+1/2,-z+1/2'
'-x+1/2,y+1/2,z+1/2'
'-x+1/2,y+1/2,-z+1/2'
'x+1/2,-y+1/2,z+1/2'
loop_
_atom_site_label
_atom_site_type_symbol
_atom_site_fract_x
_atom_site_fract_y
_atom_site_fract_z
Tb1 Tb 0.000 0.000 0.000
Dy1 Dy 0.231 0.147 0.500
Y1 Y 0.233 0.316 0.000
Er1 Er 0.000 0.500 0.000
```

Summary:
- Magnetic moment: 0.000 μB per formula unit
- Electronic total energy: -59.44 eV for the cell shown
- ΔE_f: 0.268 eV/atom

DFT (GGA-PBE) results for crystalline Tb6Dy2YEr at its relaxed geometry.

```
data_Tb6Dy2YEr
_chemical_formula_sum 'Tb24 Dy8 Y4 Er4'
_cell_length_a 9.027
_cell_length_b 15.091
_cell_length_c 9.549
_cell_angle_alpha 90.00
_cell_angle_beta 97.54
_cell_angle_gamma 90.00
_symmetry_space_group_name_H-M 'C 1 2/c 1'
_symmetry_Int_Tables_number 15
loop_
_symmetry_equiv_pos_as_xyz
'x,y,z'
'-x,-y,-z'
'-x,y,-z+1/2'
'x,-y,z+1/2'
'x+1/2,y+1/2,z'
'-x+1/2,-y+1/2,-z'
'-x+1/2,y+1/2,-z+1/2'
'x+1/2,-y+1/2,z+1/2'
loop_
_atom_site_label
_atom_site_type_symbol
_atom_site_fract_x
_atom_site_fract_y
_atom_site_fract_z
Tb1 Tb 0.061 0.187 0.445
Tb2 Tb 0.104 0.394 0.620
Tb3 Tb 0.206 0.224 0.814
Dy1 Dy 0.249 0.446 0.956
Y1 Y 0.000 0.023 0.750
Er1 Er 0.000 0.409 0.250
```

Summary:
- Magnetic moment: 0.000 μB per formula unit
- Electronic total energy: -187.42 eV for the cell shown
- ΔE_f: 0.116 eV/atom